[1]
Computed, not measured: a relaxed FeHgPdRh crystal at the PBE level of DFT.

Calculated values
Formation enthalpy at 0 K: 0.0721 eV per atom

Cell: 6.331 6.331 6.331 Å, 90.00 90.00 90.00°
Fractional positions:
Fe  0.000  0.000  0.000
Fe  0.000  0.500  0.500
Fe  0.500  0.000  0.500
Fe  0.500  0.500  0.000
Hg  0.000  0.000  0.500
Hg  0.000  0.500  0.000
Hg  0.500  0.000  0.000
Hg  0.500  0.500  0.500
Pd  0.250  0.250  0.750
Pd  0.250  0.750  0.250
Pd  0.750  0.250  0.250
Pd  0.750  0.750  0.750
Rh  0.250  0.250  0.250
Rh  0.250  0.750  0.750
Rh  0.750  0.250  0.750
Rh  0.750  0.750  0.250

=====

[2]
Computed, not measured: a relaxed FeHg2PdSe crystal at the PBE level of DFT.

Calculated values
Raw formation energy: 0.783 eV per atom

Cell: 5.348 5.348 4.393 Å, 90.00 90.00 90.00°
Fractional positions:
Fe  0.000  0.000  0.000
Hg  0.000  0.500  0.500
Hg  0.500  0.000  0.500
Pd  0.500  0.500  0.000
Se  0.000  0.000  0.500

=====

[3]
Computed, not measured: a relaxed Pm3FeHg crystal at the PBE level of DFT.

Calculated values
Formation enthalpy at 0 K: -0.1440 eV per atom
E above lowest polymorph: 0.000 eV/atom

Cell: 8.754 3.791 8.828 Å, 90.00 110.37 90.00°
Fractional positions:
Pm  0.054  0.250  0.228
Pm  0.318  0.250  0.927
Pm  0.327  0.750  0.584
Pm  0.673  0.250  0.416
Pm  0.682  0.750  0.073
Pm  0.946  0.750  0.772
Fe  0.058  0.250  0.574
Fe  0.942  0.750  0.426
Hg  0.358  0.750  0.226
Hg  0.642  0.250  0.774

=====

[4]
Computed, not measured: a relaxed Pm12FeHg6 crystal at the PBE level of DFT.

Calculated values
Formation enthalpy at 0 K: -0.1986 eV per atom

Cell: 8.384 8.384 8.384 Å, 94.26 94.26 94.26°
Fractional positions:
Pm  0.028  0.691  0.920
Pm  0.080  0.972  0.309
Pm  0.199  0.540  0.423
Pm  0.309  0.080  0.972
Pm  0.423  0.199  0.540
Pm  0.460  0.577  0.801
Pm  0.540  0.423  0.199
Pm  0.577  0.801  0.460
Pm  0.691  0.920  0.028
Pm  0.801  0.460  0.577
Pm  0.920  0.028  0.691
Pm  0.972  0.309  0.080
Fe  0.000  0.000  0.000
Hg  0.145  0.351  0.739
Hg  0.261  0.855  0.649
Hg  0.351  0.739  0.145
Hg  0.649  0.261  0.855
Hg  0.739  0.145  0.351
Hg  0.855  0.649  0.261

=====

[5]
Computed, not measured: a relaxed Pm2FeHg crystal at the PBE level of DFT.

Calculated values
Formation enthalpy at 0 K: -0.1103 eV per atom

Cell: 3.559 3.559 7.742 Å, 90.00 90.00 90.00°
Fractional positions:
Pm  0.000  0.000  0.218
Pm  0.000  0.000  0.782
Fe  0.500  0.500  0.000
Hg  0.500  0.500  0.500

=====

[6]
Computed, not measured: a relaxed Pm3FeHg crystal at the PBE level of DFT.

Calculated values
Formation enthalpy at 0 K: 0.0090 eV per atom
E above lowest polymorph: 0.153 eV/atom

Cell: 5.219 5.219 5.219 Å, 90.00 90.00 90.00°
Fractional positions:
Pm  0.000  0.000  0.500
Pm  0.000  0.500  0.000
Pm  0.500  0.000  0.000
Fe  0.000  0.000  0.000
Hg  0.500  0.500  0.500

=====

[7]
Computed, not measured: a relaxed Pr3FeHg crystal at the PBE level of DFT.

Calculated values
Formation enthalpy at 0 K: 0.0265 eV per atom

Cell: 5.284 5.284 5.284 Å, 90.00 90.00 90.00°
Fractional positions:
Pr  0.000  0.000  0.500
Pr  0.000  0.500  0.000
Pr  0.500  0.000  0.000
Fe  0.000  0.000  0.000
Hg  0.500  0.500  0.500

=====

[8]
Computed, not measured: a relaxed Pr6Fe2Hg crystal at the PBE level of DFT.

Calculated values
Formation enthalpy at 0 K: -0.0276 eV per atom

Cell: 8.721 8.721 8.721 Å, 111.81 109.06 107.58°
Fractional positions:
Pr  0.031  0.235  0.797
Pr  0.182  0.281  0.463
Pr  0.182  0.719  0.901
Pr  0.328  0.016  0.688
Pr  0.328  0.640  0.312
Pr  0.438  0.235  0.203
Pr  0.562  0.765  0.797
Pr  0.672  0.360  0.688
Pr  0.672  0.984  0.312
Pr  0.818  0.281  0.099
Pr  0.818  0.719  0.537
Pr  0.969  0.765  0.203
Fe  0.106  0.606  0.500
Fe  0.334  0.000  0.334
Fe  0.666  0.000  0.666
Fe  0.894  0.394  0.500
Hg  0.000  0.000  0.000
Hg  0.500  0.500  0.000

=====

[9]
Computed, not measured: a relaxed Pr4FeHg crystal at the PBE level of DFT.

Calculated values
Formation enthalpy at 0 K: -0.0953 eV per atom

Cell: 7.843 7.843 6.346 Å, 99.45 99.45 110.21°
Fractional positions:
Pr  0.055  0.732  0.960
Pr  0.202  0.375  0.597
Pr  0.268  0.945  0.540
Pr  0.375  0.202  0.097
Pr  0.625  0.798  0.903
Pr  0.732  0.055  0.460
Pr  0.798  0.625  0.403
Pr  0.945  0.268  0.040
Fe  0.001  0.999  0.250
Fe  0.999  0.001  0.750
Hg  0.377  0.623  0.250
Hg  0.623  0.377  0.750

=====

[10]
Computed, not measured: a relaxed FeHg3Pt crystal at the PBE level of DFT.

Calculated values
Formation enthalpy at 0 K: 0.7521 eV per atom
E above lowest polymorph: 0.000 eV/atom

Cell: 5.260 5.260 5.260 Å, 90.00 90.00 90.00°
Fractional positions:
Fe  0.000  0.000  0.000
Hg  0.000  0.500  0.500
Hg  0.500  0.000  0.500
Hg  0.500  0.500  0.000
Pt  0.500  0.500  0.500

=====

[11]
Computed, not measured: a relaxed FeHgPt crystal at the PBE level of DFT.

Calculated values
Formation enthalpy at 0 K: 0.0835 eV per atom
E above lowest polymorph: 0.000 eV/atom

Cell: 2.877 2.877 11.854 Å, 90.00 90.00 90.00°
Fractional positions:
Fe  0.000  0.000  0.000
Fe  0.500  0.500  0.500
Hg  0.000  0.000  0.328
Hg  0.500  0.500  0.828
Pt  0.000  0.000  0.640
Pt  0.500  0.500  0.140

=====

[12]
Computed, not measured: a relaxed FeHgPt crystal at the PBE level of DFT.

Calculated values
Formation enthalpy at 0 K: 0.3315 eV per atom
E above lowest polymorph: 0.248 eV/atom

Cell: 6.210 6.210 6.210 Å, 90.00 90.00 90.00°
Fractional positions:
Fe  0.000  0.000  0.000
Fe  0.000  0.500  0.500
Fe  0.500  0.000  0.500
Fe  0.500  0.500  0.000
Hg  0.000  0.000  0.500
Hg  0.000  0.500  0.000
Hg  0.500  0.000  0.000
Hg  0.500  0.500  0.500
Pt  0.250  0.250  0.250
Pt  0.250  0.750  0.750
Pt  0.750  0.250  0.750
Pt  0.750  0.750  0.250

=====

[13]
Computed, not measured: a relaxed FeHgPt2 crystal at the PBE level of DFT.

Calculated values
Formation enthalpy at 0 K: 0.0538 eV per atom

Cell: 4.091 4.091 3.889 Å, 90.00 90.00 90.00°
Fractional positions:
Fe  0.000  0.000  0.000
Hg  0.500  0.500  0.000
Pt  0.000  0.500  0.500
Pt  0.500  0.000  0.500

=====

[14]
Computed, not measured: a relaxed FeHgPt crystal at the PBE level of DFT.

Calculated values
Formation enthalpy at 0 K: 0.1776 eV per atom
E above lowest polymorph: 0.094 eV/atom

Cell: 4.481 4.481 2.866 Å, 90.00 90.00 120.00°
Fractional positions:
Fe  0.000  0.000  0.000
Hg  0.333  0.667  0.435
Pt  0.667  0.333  0.889

=====

[15]
Computed, not measured: a relaxed Fe3HgPt crystal at the PBE level of DFT.

Calculated values
Formation enthalpy at 0 K: 0.9700 eV per atom
E above lowest polymorph: 0.000 eV/atom

Cell: 4.724 4.724 4.724 Å, 90.00 90.00 90.00°
Fractional positions:
Fe  0.000  0.000  0.500
Fe  0.000  0.500  0.000
Fe  0.500  0.000  0.000
Hg  0.500  0.500  0.500
Pt  0.000  0.000  0.000

=====

[16]
Computed, not measured: a relaxed FeHg2Pt2 crystal at the PBE level of DFT.

Calculated values
Formation enthalpy at 0 K: 0.1323 eV per atom

Cell: 6.598 6.598 4.292 Å, 90.00 90.00 90.00°
Fractional positions:
Fe  0.000  0.000  0.000
Fe  0.500  0.500  0.000
Hg  0.168  0.332  0.500
Hg  0.332  0.832  0.500
Hg  0.668  0.168  0.500
Hg  0.832  0.668  0.500
Pt  0.142  0.642  0.000
Pt  0.358  0.142  0.000
Pt  0.642  0.858  0.000
Pt  0.858  0.358  0.000

=====

[17]
Computed, not measured: a relaxed Fe4HgPt crystal at the PBE level of DFT.

Calculated values
Formation enthalpy at 0 K: 0.1429 eV per atom

Cell: 4.917 4.917 4.917 Å, 60.00 60.00 60.00°
Fractional positions:
Fe  0.125  0.125  0.125
Fe  0.125  0.125  0.626
Fe  0.125  0.626  0.125
Fe  0.626  0.125  0.125
Hg  0.750  0.750  0.750
Pt  0.500  0.500  0.500

=====

[18]
Computed, not measured: a relaxed FeHgPt2 crystal at the PBE level of DFT.

Calculated values
Formation enthalpy at 0 K: 0.8956 eV per atom

Cell: 5.759 5.759 11.383 Å, 90.00 90.00 90.00°
Fractional positions:
Fe  0.000  0.000  0.000
Fe  0.000  0.500  0.250
Fe  0.500  0.000  0.750
Fe  0.500  0.500  0.500
Hg  0.000  0.000  0.500
Hg  0.000  0.500  0.750
Hg  0.500  0.000  0.250
Hg  0.500  0.500  0.000
Pt  0.182  0.250  0.125
Pt  0.250  0.682  0.375
Pt  0.250  0.818  0.875
Pt  0.318  0.250  0.625
Pt  0.682  0.750  0.625
Pt  0.750  0.182  0.875
Pt  0.750  0.318  0.375
Pt  0.818  0.750  0.125

=====

[19]
Computed, not measured: a relaxed FeHgPt2 crystal at the PBE level of DFT.

Calculated values
Formation enthalpy at 0 K: 0.0650 eV per atom

Cell: 2.844 2.844 7.990 Å, 90.00 90.00 90.00°
Fractional positions:
Fe  0.000  0.000  0.000
Hg  0.500  0.500  0.261
Pt  0.000  0.000  0.533
Pt  0.500  0.500  0.788

=====

[20]
Computed, not measured: a relaxed FeHgPt2 crystal at the PBE level of DFT.

Calculated values
Formation enthalpy at 0 K: 0.0495 eV per atom

Cell: 5.782 7.790 2.897 Å, 90.00 90.00 90.00°
Fractional positions:
Fe  0.000  0.000  0.000
Fe  0.500  0.500  0.000
Hg  0.000  0.500  0.000
Hg  0.500  0.000  0.000
Pt  0.250  0.250  0.500
Pt  0.250  0.750  0.500
Pt  0.750  0.250  0.500
Pt  0.750  0.750  0.500